# BeNbGe PBE-GGA optimized geometry
data_BeNbGe
_chemical_formula_sum 'Be4 Nb4 Ge4'
_symmetry_space_group_name_H-M 'P 1'
_symmetry_Int_Tables_number 1
_symmetry_space_group_name_Hall 'P 1'
_cell_length_a 3.597
_cell_length_b 3.677
_cell_length_c 13.306
_cell_angle_alpha 90.00
_cell_angle_beta 90.00
_cell_angle_gamma 90.00
loop_
_atom_site_label
_atom_site_type_symbol
_atom_site_fract_x
_atom_site_fract_y
_atom_site_fract_z
Be1 Be 0.000 0.000 0.000
Be2 Be 0.000 0.500 0.500
Be3 Be 0.500 0.000 0.495
Be4 Be 0.500 0.500 0.995
Nb1 Nb 0.000 0.000 0.331
Nb2 Nb 0.000 0.500 0.831
Nb3 Nb 0.500 0.000 0.140
Nb4 Nb 0.500 0.500 0.640
Ge1 Ge 0.000 0.000 0.677
Ge2 Ge 0.000 0.500 0.177
Ge3 Ge 0.500 0.000 0.889
Ge4 Ge 0.500 0.500 0.389
# VASP energy: -6.22 eV/atom
# Magnetic moment: 0.00 Bohr magnetons per cell
# DOS(E_F): 0.5048 states/eV/atom